Run w
Density functional theory data (PBEsol) for a relaxed structure of InTc2Pb.

Cell: 3.0210 3.0210 8.4910 Å, 90.00 90.00 90.00°
Closest atoms and distances in Å follow each position.
Fractional coordinates of all 4 atoms:
In (0.0000, 0.0000, 0.0000)  4 Tc 2.90, 4 In 3.02
Tc (0.0000, 0.0000, 0.6061)  4 Tc 2.55
Tc (0.5000, 0.5000, 0.7692)  4 Tc 2.55
Pb (0.5000, 0.5000, 0.3490)  4 Pb 3.02, 4 Tc 3.05

- total magnetization (μB/atom) = 0.00



Run x
Density functional theory data (PBEsol) for a relaxed structure of InTc2Pb.

Cell: 5.1873 5.1873 5.1873 Å, 134.27 134.27 66.67°
Closest atoms and distances in Å follow each position.
Fractional coordinates of all 4 atoms:
In (0.0000, 0.0000, 0.0000)  8 Tc 2.85-2.96, 4 Pb 2.96
Tc (0.2500, 0.7500, 0.5000)  4 Pb 2.85, 4 In 2.96, 4 Tc 2.96
Tc (0.5000, 0.5000, 0.0000)  4 In 2.85, 4 Pb 2.96, 4 Tc 2.96
Pb (0.7500, 0.2500, 0.5000)  8 Tc 2.85-2.96, 4 In 2.96

- total magnetization (μB/atom) = 0.00



According to the calculations, the structures order from most to least stable as run w, run x.